Density functional theory data (GGA-PBEsol) for crystalline TcRhSe2 at its relaxed geometry.

Cell: 2.9839 5.1663 8.2095 Å, 90.00 90.00 90.00°
Last column: nearest neighbours and their distance in Å.
Space group Cmmm (No. 65)
Asymmetric unit:
1 Tc 0.0000 0.0000 0.0000 [2 per cell]  4 Se 2.51
2 Rh 0.0000 0.0000 0.5000 [2 per cell]  4 Se 2.56
3 Se 0.0000 0.5000 0.2460 [4 per cell]  2 Tc 2.51, 2 Rh 2.56

- E above lowest polymorph: 2.260 eV per formula unit
- Crystal system: orthorhombic
- Uncorrected energy: -6.328 eV per atom
- Volume: 15.8 Å³ per atom
- Density of states at the Fermi level: 10.085 states/eV/cell
- ρ: 9.416 g/cm³